# 1
Compound: Sr2Cd5In4
Source: Alexandria
Functional: GGA-PBE
Structure: optimized geometry

Output
The calculation puts the density at 6.4 g/cm³. As for the crystal system: monoclinic. The formation energy comes out at -168 meV/atom.

abc: 6.8518 6.8518 9.4427
angles: 120.77 120.77 59.46
Last column: nearest neighbours and their distance in Å.
Fractional positions:
1 Sr 0.0720 0.0720 0.2616  4 In 3.37-3.51, 6 Cd 3.45-3.56
2 Sr 0.9280 0.9280 0.7384  4 In 3.37-3.51, 6 Cd 3.45-3.56
3 Cd 0.0584 0.6296 0.3425  2 Cd 2.91-3.10, 2 In 3.06
4 Cd 0.3704 0.9416 0.6575  2 Cd 2.91-3.10, 2 In 3.06
5 Cd 0.5000 0.5000 0.0000  4 In 2.97-2.99
6 Cd 0.6296 0.0584 0.3425  2 Cd 2.91-3.10, 2 In 3.06
7 Cd 0.9416 0.3704 0.6575  2 Cd 2.91-3.10, 2 In 3.06
8 In 0.2746 0.2746 0.0507  3 Cd 2.99-3.06, 1 In 3.19
9 In 0.4032 0.4032 0.6295  3 Cd 2.97-3.06, 1 In 3.19
10 In 0.5968 0.5968 0.3705  3 Cd 2.97-3.06, 1 In 3.19
11 In 0.7254 0.7254 0.9493  3 Cd 2.99-3.06, 1 In 3.19

# 2
Compound: Sr12Cd6In
Source: Alexandria
Functional: GGA-PBE
Structure: optimized geometry

Output
The calculation puts the density at 4.0 g/cm³. As for the crystal system: cubic. The formation energy comes out at -222 meV/atom.

abc: 9.9583 9.9583 9.9583
angles: 109.47 109.47 109.47
Last column: nearest neighbours and their distance in Å.
Fractional positions:
1 Sr 0.1020 0.8170 0.2850  3 Cd 3.29-3.57
2 Sr 0.1830 0.2850 0.4681  3 Cd 3.29-3.57
3 Sr 0.1830 0.7150 0.8980  3 Cd 3.29-3.57
4 Sr 0.2850 0.1020 0.8170  3 Cd 3.29-3.57
5 Sr 0.2850 0.4681 0.1830  3 Cd 3.29-3.57
6 Sr 0.4681 0.1830 0.2850  3 Cd 3.29-3.57
7 Sr 0.5319 0.8170 0.7150  3 Cd 3.29-3.57
8 Sr 0.7150 0.5319 0.8170  3 Cd 3.29-3.57
9 Sr 0.7150 0.8980 0.1830  3 Cd 3.29-3.57
10 Sr 0.8170 0.2850 0.1020  3 Cd 3.29-3.57
11 Sr 0.8170 0.7150 0.5319  3 Cd 3.29-3.57
12 Sr 0.8980 0.1830 0.7150  3 Cd 3.29-3.57
13 Cd 0.1285 0.6285 0.5000  1 Cd 2.96, 2 Sr 3.29
14 Cd 0.3715 0.5000 0.8715  1 Cd 2.96, 2 Sr 3.29
15 Cd 0.5000 0.1285 0.6285  1 Cd 2.96, 2 Sr 3.29
16 Cd 0.5000 0.8715 0.3715  1 Cd 2.96, 2 Sr 3.29
17 Cd 0.6285 0.5000 0.1285  1 Cd 2.96, 2 Sr 3.29
18 Cd 0.8715 0.3715 0.5000  1 Cd 2.96, 2 Sr 3.29
19 In 0.0000 0.0000 0.0000  12 Sr 3.90

# 3
Compound: SrCd2In4
Source: Alexandria
Functional: GGA-PBE
Structure: optimized geometry

Output
The calculation puts the density at 6.6 g/cm³. The calculation puts the energy above the most stable polymorph in this dataset at 0 meV/atom. As for the crystal system: monoclinic. The formation energy comes out at -177 meV/atom.

abc: 6.5069 6.5069 5.5084
angles: 114.37 114.37 78.31
Last column: nearest neighbours and their distance in Å.
Fractional positions:
1 Sr 0.0000 0.0000 0.0000  12 In 3.56-3.66
2 Cd 0.4680 0.4680 0.2171  2 Cd 2.79-2.83
3 Cd 0.5320 0.5320 0.7829  2 Cd 2.79-2.83
4 In 0.0032 0.6176 0.3160  4 In 3.02-3.24, 2 Cd 3.18-3.20
5 In 0.3824 0.9968 0.6840  4 In 3.02-3.24, 2 Cd 3.18-3.20
6 In 0.6176 0.0032 0.3160  4 In 3.02-3.24, 2 Cd 3.18-3.20
7 In 0.9968 0.3824 0.6840  4 In 3.02-3.24, 2 Cd 3.18-3.20

# 4
Compound: SrCd8In4
Source: Alexandria
Functional: GGA-PBE
Structure: optimized geometry

Output
The calculation puts the density at 7.1 g/cm³. As for the crystal system: tetragonal. The formation energy comes out at -69 meV/atom.

abc: 7.8169 7.8169 7.8169
angles: 100.87 100.87 128.52
Last column: nearest neighbours and their distance in Å.
Fractional positions:
1 Sr 0.0000 0.0000 0.0000  4 Cd 3.52, 8 In 3.91
2 Cd 0.0000 0.3536 0.3536  3 Cd 2.92-3.19, 4 In 3.18
3 Cd 0.0000 0.6464 0.6464  3 Cd 2.92-3.19, 4 In 3.18
4 Cd 0.2849 0.5000 0.7849  4 Cd 3.03-3.19, 4 In 3.03
5 Cd 0.3536 0.0000 0.3536  3 Cd 2.92-3.19, 4 In 3.18
6 Cd 0.5000 0.2849 0.7849  4 Cd 3.03-3.19, 4 In 3.03
7 Cd 0.5000 0.7151 0.2151  4 Cd 3.03-3.19, 4 In 3.03
8 Cd 0.6464 0.0000 0.6464  3 Cd 2.92-3.19, 4 In 3.18
9 Cd 0.7151 0.5000 0.2151  4 Cd 3.03-3.19, 4 In 3.03
10 In 0.0000 0.0000 0.5000  8 Cd 3.03-3.18, 2 In 3.39
11 In 0.0000 0.5000 0.0000  8 Cd 3.03-3.18, 2 In 3.39
12 In 0.5000 0.0000 0.0000  8 Cd 3.03-3.18, 2 In 3.39
13 In 0.5000 0.5000 0.5000  8 Cd 3.03-3.18, 2 In 3.39

# 5
Compound: SrCd2In
Source: Alexandria
Functional: GGA-PBE
Structure: optimized geometry

Output
The calculation puts the density at 6.2 g/cm³. As for the crystal system: tetragonal. The formation energy comes out at -226 meV/atom.

abc: 4.9288 4.9288 4.6776
angles: 90.00 90.00 90.00
Last column: nearest neighbours and their distance in Å.
Fractional positions:
1 Sr 0.0000 0.0000 0.0000  8 Cd 3.40, 4 In 3.49
2 Cd 0.0000 0.5000 0.5000  4 In 3.40, 4 Sr 3.40, 4 Cd 3.49
3 Cd 0.5000 0.0000 0.5000  4 In 3.40, 4 Sr 3.40, 4 Cd 3.49
4 In 0.5000 0.5000 0.0000  8 Cd 3.40, 4 Sr 3.49

# 6
Compound: Sr3Cd2In3
Source: Alexandria
Functional: GGA-PBE
Structure: optimized geometry

Output
The calculation puts the density at 5.5 g/cm³. As for the crystal system: orthorhombic. The formation energy comes out at -405 meV/atom.

abc: 6.5656 6.5656 16.6649
angles: 90.00 90.00 135.20
Last column: nearest neighbours and their distance in Å.
Fractional positions:
1 Sr 0.0890 0.9110 0.6080  7 In 3.51-3.80, 4 Cd 3.53-3.74
2 Sr 0.0890 0.9110 0.8920  7 In 3.51-3.80, 4 Cd 3.53-3.74
3 Sr 0.3663 0.6337 0.7500  5 In 3.50-3.59, 4 Cd 3.65
4 Sr 0.6337 0.3663 0.2500  5 In 3.50-3.59, 4 Cd 3.65
5 Sr 0.9110 0.0890 0.1080  7 In 3.51-3.80, 4 Cd 3.53-3.74
6 Sr 0.9110 0.0890 0.3920  7 In 3.51-3.80, 4 Cd 3.53-3.74
7 Cd 0.2065 0.7935 0.0996  4 In 2.93-3.18
8 Cd 0.2065 0.7935 0.4004  4 In 2.93-3.18
9 Cd 0.7935 0.2065 0.5996  4 In 2.93-3.18
10 Cd 0.7935 0.2065 0.9004  4 In 2.93-3.18
11 In 0.3458 0.6542 0.2500  2 Cd 3.02
12 In 0.3871 0.6129 0.5383  3 Cd 2.93-3.18, 1 In 3.02
13 In 0.3871 0.6129 0.9617  3 Cd 2.93-3.18, 1 In 3.02
14 In 0.6129 0.3871 0.0383  3 Cd 2.93-3.18, 1 In 3.02
15 In 0.6129 0.3871 0.4617  3 Cd 2.93-3.18, 1 In 3.02
16 In 0.6542 0.3458 0.7500  2 Cd 3.02

# 7
Compound: SrCdIn2
Source: Alexandria
Functional: GGA-PBE
Structure: optimized geometry

Output
The calculation puts the density at 6.3 g/cm³. As for the crystal system: cubic. The formation energy comes out at -258 meV/atom.

abc: 5.4308 5.4308 5.4308
angles: 60.00 60.00 60.00
Last column: nearest neighbours and their distance in Å.
Fractional positions:
1 Sr 0.0000 0.0000 0.0000  4 Cd 3.33, 4 In 3.33
2 Cd 0.2500 0.2500 0.2500  4 In 3.33, 4 Sr 3.33
3 In 0.5000 0.5000 0.5000  4 In 3.33, 4 Cd 3.33
4 In 0.7500 0.7500 0.7500  4 In 3.33, 4 Sr 3.33

# 8
Compound: Sr4CdIn
Source: Alexandria
Functional: GGA-PBE
Structure: optimized geometry

Output
The calculation puts the density at 3.6 g/cm³. The calculation puts the energy above the most stable polymorph in this dataset at 109 meV/atom. As for the crystal system: tetragonal. The formation energy comes out at -162 meV/atom.

abc: 5.7471 5.7471 8.0961
angles: 90.00 90.00 90.00
Last column: nearest neighbours and their distance in Å.
Fractional positions:
1 Sr 0.0000 0.5000 0.2438  2 In 3.49, 2 Cd 3.54
2 Sr 0.0000 0.5000 0.7562  2 In 3.49, 2 Cd 3.54
3 Sr 0.5000 0.0000 0.2438  2 In 3.49, 2 Cd 3.54
4 Sr 0.5000 0.0000 0.7562  2 In 3.49, 2 Cd 3.54
5 Cd 0.0000 0.0000 0.5000  8 Sr 3.54
6 In 0.5000 0.5000 0.0000  8 Sr 3.49

# 9
Compound: SrCd2In3
Source: Alexandria
Functional: GGA-PBE
Structure: optimized geometry

Output
The calculation puts the density at 6.5 g/cm³. The calculation puts the energy above the most stable polymorph in this dataset at 0 meV/atom. As for the crystal system: monoclinic. The formation energy comes out at -207 meV/atom.

abc: 9.2194 9.2194 8.5969
angles: 117.79 117.79 31.64
Last column: nearest neighbours and their distance in Å.
Fractional positions:
1 Sr 0.1324 0.1324 0.1327  8 In 3.47-3.65, 6 Cd 3.54-3.69
2 Sr 0.8676 0.8676 0.8673  8 In 3.47-3.65, 6 Cd 3.54-3.69
3 Cd 0.1931 0.1931 0.6929  8 In 3.07-3.32
4 Cd 0.5000 0.5000 0.1630  1 Cd 2.80, 4 In 2.92-2.94
5 Cd 0.5000 0.5000 0.8370  1 Cd 2.80, 4 In 2.92-2.94
6 Cd 0.8069 0.8069 0.3071  8 In 3.07-3.32
7 In 0.9996 0.9996 0.3346  1 In 2.84, 2 Cd 2.92
8 In 0.0004 0.0004 0.6654  1 In 2.84, 2 Cd 2.92
9 In 0.3261 0.3261 0.1237  4 Cd 2.94-3.29
10 In 0.3262 0.3262 0.5284  3 Cd 2.94-3.07
11 In 0.6738 0.6738 0.4716  3 Cd 2.94-3.07
12 In 0.6739 0.6739 0.8763  4 Cd 2.94-3.29

# 10
Compound: SrCd9In3
Source: Alexandria
Functional: GGA-PBE
Structure: optimized geometry

Output
The calculation puts the density at 7.3 g/cm³. As for the crystal system: monoclinic. The formation energy comes out at -78 meV/atom.

abc: 7.7769 7.7769 7.8107
angles: 100.33 100.33 129.57
Last column: nearest neighbours and their distance in Å.
Fractional positions:
1 Sr 0.0000 0.0000 0.0000  10 Cd 3.53-3.92, 6 In 3.89-3.91
2 Cd 0.0080 0.3610 0.3540  4 Cd 2.93-3.20, 3 In 3.15-3.21
3 Cd 0.2904 0.5048 0.7833  5 Cd 2.98-3.20, 3 In 3.00-3.04
4 Cd 0.3610 0.0080 0.3540  4 Cd 2.93-3.20, 3 In 3.15-3.21
5 Cd 0.4952 0.7096 0.2167  5 Cd 2.98-3.20, 3 In 3.00-3.04
6 Cd 0.5000 0.5000 0.5000  8 Cd 2.98-3.14, 2 In 3.31
7 Cd 0.5048 0.2904 0.7833  5 Cd 2.98-3.20, 3 In 3.00-3.04
8 Cd 0.6390 0.9920 0.6460  4 Cd 2.93-3.20, 3 In 3.15-3.21
9 Cd 0.7096 0.4952 0.2167  5 Cd 2.98-3.20, 3 In 3.00-3.04
10 Cd 0.9920 0.6390 0.6460  4 Cd 2.93-3.20, 3 In 3.15-3.21
11 In 0.0000 0.0000 0.5000  10 Cd 3.03-3.31
12 In 0.0000 0.5000 0.0000  8 Cd 3.00-3.21, 2 In 3.31
13 In 0.5000 0.0000 0.0000  8 Cd 3.00-3.21, 2 In 3.31

# 11
Compound: Sr4CdIn
Source: Alexandria
Functional: GGA-PBE
Structure: optimized geometry

Output
The calculation puts the density at 3.6 g/cm³. The calculation puts the energy above the most stable polymorph in this dataset at 586 meV/atom. As for the crystal system: cubic. The formation energy comes out at 315 meV/atom.

abc: 7.2170 7.2170 7.2170
angles: 60.00 60.00 60.00
Last column: nearest neighbours and their distance in Å.
Fractional positions:
1 Sr 0.1253 0.1253 0.1253  6 Sr 3.60-3.62
2 Sr 0.1253 0.1253 0.6240  6 Sr 3.60-3.62
3 Sr 0.1253 0.6240 0.1253  6 Sr 3.60-3.62
4 Sr 0.6240 0.1253 0.1253  6 Sr 3.60-3.62
5 Cd 0.7500 0.7500 0.7500  12 Sr 4.23, 4 In 4.42
6 In 0.5000 0.5000 0.5000  12 Sr 4.23, 4 Cd 4.42

# 12
Compound: SrCd6In5
Source: Alexandria
Functional: GGA-PBE
Structure: optimized geometry

Output
The calculation puts the density at 7.1 g/cm³. As for the crystal system: monoclinic. The formation energy comes out at -57 meV/atom.

abc: 7.6565 7.6565 5.5354
angles: 99.17 99.17 82.80
Last column: nearest neighbours and their distance in Å.
Fractional positions:
1 Sr 0.0000 0.0000 0.0000  6 In 3.38-3.48, 6 Cd 3.41-3.50
2 Cd 0.0860 0.4242 0.2432  6 Cd 3.13-3.42, 4 In 3.20-3.44, 1 Sr 3.41
3 Cd 0.2475 0.2475 0.7242  6 Cd 3.18-3.36, 5 In 3.37-3.44, 1 Sr 3.50
4 Cd 0.4242 0.0860 0.2432  6 Cd 3.13-3.42, 4 In 3.20-3.44, 1 Sr 3.41
5 Cd 0.5758 0.9140 0.7568  6 Cd 3.13-3.42, 4 In 3.20-3.44, 1 Sr 3.41
6 Cd 0.7525 0.7525 0.2758  6 Cd 3.18-3.36, 5 In 3.37-3.44, 1 Sr 3.50
7 Cd 0.9140 0.5758 0.7568  6 Cd 3.13-3.42, 4 In 3.20-3.44, 1 Sr 3.41
8 In 0.1909 0.8091 0.5000  3 In 3.13-3.17, 4 Cd 3.20-3.44, 2 Sr 3.38
9 In 0.3436 0.6564 0.0000  5 In 3.17-3.19, 6 Cd 3.37-3.44, 1 Sr 3.48
10 In 0.5000 0.5000 0.5000  6 In 3.13-3.19, 6 Cd 3.34-3.39
11 In 0.6564 0.3436 0.0000  5 In 3.17-3.19, 6 Cd 3.37-3.44, 1 Sr 3.48
12 In 0.8091 0.1909 0.5000  3 In 3.13-3.17, 4 Cd 3.20-3.44, 2 Sr 3.38

no.,magnetic moment (Bohr magnetons per cell)
1,0.00
2,0.00
3,0.00
4,0.00
5,0.00
6,0.00
7,0.00
8,0.00
9,0.00
10,0.00
11,0.00
12,0.00